Record 1
TaAlIn GGA-PBE relaxed; total energy = -16.25 eV per formula unit
1.0
0.000 3.252 3.252
3.252 0.000 3.252
3.252 3.252 0.000
Al Ta In
1 1 1
Direct
0.250 0.250 0.250
0.000 0.000 0.000
0.750 0.750 0.750



Record 2
TaAlIn GGA-PBE relaxed; total energy = -15.49 eV per formula unit
1.0
0.380 -0.937 4.433
-1.582 2.938 3.089
-3.701 -1.031 2.431
Ta Al In
1 1 1
Direct
0.000 0.000 0.000
0.500 0.500 0.500
0.250 0.250 0.250



Record 3
Tb2AlIn5 GGA-PBE relaxed; total energy = -29.41 eV per formula unit
1.0
-0.705 2.112 4.524
4.331 -4.239 2.654
6.430 1.533 0.287
Tb In Al
2 5 1
Direct
0.500 0.330 0.330
0.000 0.668 0.668
0.500 0.319 0.847
0.500 0.847 0.319
0.000 0.162 0.682
0.500 0.840 0.840
0.000 0.682 0.162
0.000 0.154 0.154



Record 4
TbAl2In GGA-PBE relaxed; total energy = -16.29 eV per formula unit
1.0
4.765 0.000 0.000
0.000 3.194 5.673
0.000 -3.194 5.673
Al Tb In
4 2 2
Direct
0.500 0.852 0.852
0.000 0.705 0.143
0.000 0.145 0.145
0.000 0.143 0.705
0.500 0.328 0.328
0.000 0.678 0.678
0.500 0.315 0.835
0.500 0.835 0.315



Record 5
Tb2Al3In3 GGA-PBE relaxed; total energy = -31.41 eV per formula unit
1.0
-5.790 2.448 -1.703
2.337 -5.259 -3.051
-2.181 -2.874 3.284
In Tb Al
3 2 3
Direct
0.824 0.647 0.500
0.824 0.176 0.500
0.353 0.176 0.500
0.333 0.667 0.500
0.000 0.000 0.000
0.520 0.039 0.000
0.520 0.480 0.000
0.961 0.480 0.000



Record 6
TbAlIn2 GGA-PBE relaxed; total energy = -15.18 eV per formula unit
1.0
-2.332 -0.288 4.369
-0.865 -6.436 -0.885
4.545 -4.205 2.149
In Al Tb
4 2 2
Direct
0.500 0.684 0.164
0.000 0.841 0.841
0.500 0.164 0.684
0.500 0.158 0.158
0.000 0.854 0.301
0.000 0.301 0.854
0.500 0.663 0.663
0.000 0.335 0.335



Record 7
TbAlIn2 GGA-PBE relaxed; total energy = -15.18 eV per formula unit
1.0
-1.813 -3.391 3.123
5.778 -0.264 3.068
-4.515 4.285 2.031
Al In Tb
2 4 2
Direct
0.750 0.697 0.841
0.250 0.841 0.697
0.750 0.149 0.833
0.750 0.153 0.316
0.250 0.833 0.149
0.250 0.316 0.153
0.750 0.667 0.344
0.250 0.344 0.667



Record 8
AlIn2Tc GGA-PBE relaxed; total energy = -17.69 eV per formula unit
1.0
2.358 1.361 3.850
-2.358 1.361 3.850
0.000 -2.722 3.850
In Tc Al
2 1 1
Direct
0.500 0.500 0.500
0.750 0.750 0.750
0.000 0.000 0.000
0.250 0.250 0.250